Compound: TbHo2WO8
Source: the Alexandria database
Functional: GGA+U
Structure: optimized geometry

Its raw total energy is -7.9141 eV per atom.

Structure (POSCAR):
```
TbHo2WO8
1.0
3.542 -3.585 0.000
3.542 3.585 0.000
0.000 0.000 6.824
Tb Ho W O
1 2 1 8
Cartesian
0.000 0.000 0.000 Tb
3.542 0.000 1.718 Ho
3.542 0.000 5.106 Ho
0.000 0.000 3.412 W
3.542 2.266 1.967 O
3.542 2.266 4.857 O
1.959 0.000 3.412 O
2.195 0.000 0.000 O
4.889 0.000 0.000 O
5.126 0.000 3.412 O
3.542 -2.266 1.967 O
3.542 -2.266 4.857 O
```